# PBE with a Hubbard U Ba2YTlW2O7, optimized geometry
data_Ba2YTlW2O7
_space_group_name_H-M_alt 'P 1'
_space_group_IT_number 1
_space_group_name_Hall 'P 1'
_cell_length_a 4.043
_cell_length_b 4.227
_cell_length_c 13.106
_cell_angle_alpha 90.00
_cell_angle_beta 90.00
_cell_angle_gamma 90.00
loop_
_atom_site_label
_atom_site_type_symbol
_atom_site_fract_x
_atom_site_fract_y
_atom_site_fract_z
_atom_site_occupancy
Ba1 Ba 0.000 0.000 0.189 1
Ba2 Ba 0.000 0.000 0.811 1
Y1 Y 0.000 0.000 0.500 1
Tl1 Tl 0.500 0.500 0.000 1
W1 W 0.500 0.500 0.374 1
W2 W 0.500 0.500 0.626 1
O1 O 0.000 0.000 0.000 1
O2 O 0.000 0.500 0.388 1
O3 O 0.000 0.500 0.612 1
O4 O 0.500 0.000 0.385 1
O5 O 0.500 0.000 0.615 1
O6 O 0.500 0.500 0.217 1
O7 O 0.500 0.500 0.783 1
# M_tot in μB per atom: 0.3214
# Total energy in eV/atom: -6.7712
# Symmetry: Pmmm (47)